Entry from the Alexandria database: MgBe2W after structural relaxation (PBE-GGA).

Lattice parameters (Å, degrees): 8.626 8.626 8.626 18.41 18.41 18.41
Fractional positions:
Mg 0.000 0.000 0.000
Be 0.244 0.244 0.244
Be 0.511 0.511 0.511
W 0.764 0.764 0.764

***

Entry from the Alexandria database: TlNiSn2 after structural relaxation (PBE-GGA).

Lattice parameters (Å, degrees): 3.236 3.236 8.831 90.00 90.00 90.00
Fractional positions:
Tl 0.000 0.000 0.000
Ni 0.000 0.000 0.500
Sn 0.500 0.500 0.319
Sn 0.500 0.500 0.681

Output
The polymorph energy (0 for the lowest one) comes out at 0.0 kJ per mole of atoms.

***

no.,VASP energy (eV/atom),magnetization (μB/atom),V (Å³ per cell)
1,-4.95,0.000,55.91
2,-4.06,0.000,92.50